(1)
A plane-wave DFT calculation with GGA-PBE was carried out for Cd2FeTe after structural relaxation.

a b c (Å): 7.570 7.570 7.570
angles (deg): 95.47 95.47 144.03
Fractional positions:
1 Cd 0.000 0.000 0.000
2 Cd 0.000 0.000 0.500
3 Cd 0.000 0.500 0.000
4 Cd 0.500 0.000 0.500
5 Fe 0.125 0.875 0.250
6 Fe 0.875 0.125 0.750
7 Te 0.375 0.625 0.750
8 Te 0.625 0.375 0.250

As for the space group: I4_1/amd (141). The value obtained for the formation energy (no corrections) is 364.3 meV/atom.

=====

(2)
A plane-wave DFT calculation with GGA-PBE was carried out for Li2Pm2NdGa2 after structural relaxation.

a b c (Å): 9.285 9.285 9.285
angles (deg): 29.36 29.36 29.36
Fractional positions:
1 Li 0.104 0.104 0.104
2 Li 0.896 0.896 0.896
3 Pm 0.373 0.373 0.373
4 Pm 0.627 0.627 0.627
5 Nd 0.500 0.500 0.500
6 Ga 0.238 0.238 0.238
7 Ga 0.762 0.762 0.762

As for the space group: R-3m (166). For the formation energy, the calculation gives -0.288 eV per atom.

=====

(3)
A plane-wave DFT calculation with GGA-PBE was carried out for CaHf2Tc after structural relaxation.

a b c (Å): 9.322 9.322 9.322
angles (deg): 145.67 145.67 49.34
Fractional positions:
1 Ca 0.000 0.000 0.000
2 Ca 0.750 0.250 0.500
3 Hf 0.347 0.625 0.222
4 Hf 0.375 0.597 0.722
5 Hf 0.403 0.125 0.778
6 Hf 0.875 0.653 0.278
7 Tc 0.250 0.750 0.500
8 Tc 0.500 0.500 0.000

As for the space group: I-42d (122). For the formation energy, the calculation gives 1.112 eV per atom.

=====

(4)
A plane-wave DFT calculation with GGA-PBE was carried out for K2CuTc after structural relaxation.

a b c (Å): 5.335 5.335 5.335
angles (deg): 119.93 119.93 90.13
Fractional positions:
1 K 0.000 0.000 0.000
2 K 0.750 0.250 0.500
3 Cu 0.500 0.500 0.000
4 Tc 0.250 0.750 0.500

As for the space group: I-4m2 (119). For the formation energy, the calculation gives 1.290 eV per atom.

=====

(5)
A plane-wave DFT calculation with GGA-PBE was carried out for Ba2CuHg after structural relaxation.

a b c (Å): 4.981 6.657 6.657
angles (deg): 41.46 90.00 90.00
Fractional positions:
1 Ba 0.000 0.000 0.000
2 Ba 0.500 0.279 0.279
3 Cu 0.500 0.581 0.581
4 Hg 0.000 0.703 0.703

As for the space group: Amm2 (38). For the formation energy, the calculation gives -0.229 eV per atom.

=====

(6)
A plane-wave DFT calculation with GGA-PBE was carried out for CsMgBi after structural relaxation.

a b c (Å): 5.003 5.003 6.204
angles (deg): 90.00 90.00 120.00
Fractional positions:
1 Cs 0.000 0.000 0.000
2 Mg 0.667 0.333 0.500
3 Bi 0.333 0.667 0.500

As for the space group: P-6m2 (187). For the formation energy, the calculation gives -0.366 eV per atom.

=====

| no. | magnetic moment (μB per atom) |
| --- | --- |
| 1 | 0.00 |
| 2 | 0.00 |
| 3 | 0.00 |
| 4 | 0.88 |
| 5 | 0.00 |
| 6 | 0.00 |